Compound: Rb3YI8
Source: Alexandria
Functional: PBE-GGA
Structure: relaxed

Lattice parameters (Å, degrees): 8.2294 8.2294 10.4965 113.08 113.08 90.00
Positions (direct):
Rb: 0.7500 0.2500 0.5000
Rb: 0.5000 0.5000 0.0000
Rb: 0.2500 0.7500 0.5000
Y: 0.0000 0.0000 0.0000
I: 0.3350 0.3350 0.2209
I: 0.3350 0.8860 0.2209
I: 0.1140 0.6650 0.7791
I: 0.1140 0.1140 0.7791
I: 0.8860 0.8860 0.2209
I: 0.8860 0.3350 0.2209
I: 0.6650 0.1140 0.7791
I: 0.6650 0.6650 0.7791

Output
Electronic total energy = -2.864 eV per atom
Symmetry = No. 139
Formation energy without anion corrections = -1.050 eV/atom